Entry 1:
# PBE Ho4MgTl, optimized geometry
data_Ho4MgTl
_space_group_name_H-M_alt 'P 1'
_space_group_IT_number 1
_cell_length_a 9.022
_cell_length_b 9.022
_cell_length_c 9.022
_cell_angle_alpha 33.15
_cell_angle_beta 33.15
_cell_angle_gamma 33.15
loop_
_space_group_symop_operation_xyz
'x,y,z'
loop_
_atom_site_label
_atom_site_fract_x
_atom_site_fract_y
_atom_site_fract_z
_atom_site_occupancy
Ho1 0.124 0.124 0.124 1
Ho2 0.375 0.375 0.375 1
Ho3 0.625 0.625 0.625 1
Ho4 0.876 0.876 0.876 1
Mg1 0.000 0.000 0.000 1
Tl1 0.500 0.500 0.500 1
# Formation energy from the elements (eV/atom): 0.203
# Magnetic moment (Bohr magnetons per cell): 0.00

=====

Entry 2:
# PBE Na3NbO4, optimized geometry
data_Na3NbO4
_space_group_name_H-M_alt 'P 1'
_space_group_IT_number 1
_cell_length_a 7.340
_cell_length_b 6.333
_cell_length_c 5.682
_cell_angle_alpha 90.00
_cell_angle_beta 90.00
_cell_angle_gamma 90.00
loop_
_space_group_symop_operation_xyz
'x,y,z'
loop_
_atom_site_label
_atom_site_fract_x
_atom_site_fract_y
_atom_site_fract_z
_atom_site_occupancy
Na1 0.000 0.164 0.000 1
Na2 0.245 0.330 0.499 1
Na3 0.255 0.670 0.999 1
Na4 0.500 0.836 0.500 1
Na5 0.745 0.670 0.999 1
Na6 0.755 0.330 0.499 1
Nb1 0.000 0.829 0.488 1
Nb2 0.500 0.171 0.988 1
O1 0.000 0.112 0.589 1
O2 0.000 0.825 0.158 1
O3 0.212 0.687 0.590 1
O4 0.288 0.313 0.090 1
O5 0.500 0.175 0.658 1
O6 0.500 0.888 0.089 1
O7 0.712 0.313 0.090 1
O8 0.788 0.687 0.590 1
# Energy relative to the elements, uncorrected (eV per atom): -2.1746
# Magnetic moment (Bohr magnetons per cell): 0.00

=====

Density readings, ordered: 7.5, 2.8 g/cm3
Volume readings, ordered: 32.58, 16.51 Å³ per atom
Density of states at the Fermi level readings, ordered: 8.396, 0.000 states/eV per cell